PrY2Tm4 | Alexandria via LeMat-Bulk | GGA-PBE | relaxed; mass density = 7.5 g/cm³; symmetry = P1 (1); E above lowest polymorph = 0 meV/atom; ΔH_f (0 K) = 0.028 eV/atom; magnetization = 0.00 μB per cell
1.0
6.8997 1.1296 -1.1470
-3.3607 6.6455 -2.7202
1.3514 0.4073 8.5642
Y Pr Tm
4 2 8
direct
0.1272 0.1297 0.6076
0.7674 0.6945 0.4633
0.6961 0.4105 0.0347
0.5528 0.8416 0.1789
0.8394 0.9806 0.8937
0.2671 0.6936 0.4636
0.4813 0.5520 0.7505
0.6254 0.1288 0.6071
0.4102 0.2663 0.3201
0.9820 0.5520 0.7512
0.1966 0.4113 0.0367
0.9109 0.2667 0.3213
0.0547 0.8396 0.1777
0.3390 0.9827 0.8936